A plane-wave DFT calculation with GGA-PBE was carried out for crystalline NaYTlZn at its relaxed geometry.

a b c (Å): 5.164 5.164 5.164
angles (deg): 60.00 60.00 60.00
Positions (direct):
Zn: 0.000 0.000 0.000
Y: 0.750 0.750 0.750
Tl: 0.500 0.500 0.500
Na: 0.250 0.250 0.250

Crystal system: cubic
Energy of formation (eV/atom): -0.16
Space group: F-43m

***

A plane-wave DFT calculation with GGA-PBE was carried out for crystalline Na7Tl3Zn at its relaxed geometry.

a b c (Å): 3.617 15.168 11.936
angles (deg): 90.00 90.00 96.85
Positions (direct):
Na: 0.639 0.278 0.250
Tl: 0.935 0.870 0.888
Na: 0.530 0.060 0.615
Na: 0.771 0.542 0.891
Tl: 0.804 0.608 0.250
Tl: 0.196 0.392 0.750
Tl: 0.935 0.870 0.612
Zn: 0.898 0.796 0.250
Na: 0.642 0.284 0.950
Na: 0.642 0.284 0.550
Na: 0.470 0.940 0.385
Zn: 0.102 0.204 0.750
Na: 0.361 0.722 0.750
Tl: 0.065 0.130 0.388
Na: 0.358 0.716 0.050
Na: 0.229 0.458 0.109
Na: 0.358 0.716 0.450
Tl: 0.065 0.130 0.112
Na: 0.470 0.940 0.115
Na: 0.771 0.542 0.609
Na: 0.229 0.458 0.391
Na: 0.530 0.060 0.885

Crystal system: orthorhombic
Energy of formation (eV/atom): -0.03
Space group: Cmcm

***

Repeat the second record exactly.
A plane-wave DFT calculation with GGA-PBE was carried out for crystalline Na7Tl3Zn at its relaxed geometry.

a b c (Å): 3.617 15.168 11.936
angles (deg): 90.00 90.00 96.85
Positions (direct):
Na: 0.639 0.278 0.250
Tl: 0.935 0.870 0.888
Na: 0.530 0.060 0.615
Na: 0.771 0.542 0.891
Tl: 0.804 0.608 0.250
Tl: 0.196 0.392 0.750
Tl: 0.935 0.870 0.612
Zn: 0.898 0.796 0.250
Na: 0.642 0.284 0.950
Na: 0.642 0.284 0.550
Na: 0.470 0.940 0.385
Zn: 0.102 0.204 0.750
Na: 0.361 0.722 0.750
Tl: 0.065 0.130 0.388
Na: 0.358 0.716 0.050
Na: 0.229 0.458 0.109
Na: 0.358 0.716 0.450
Tl: 0.065 0.130 0.112
Na: 0.470 0.940 0.115
Na: 0.771 0.542 0.609
Na: 0.229 0.458 0.391
Na: 0.530 0.060 0.885

Crystal system: orthorhombic
Energy of formation (eV/atom): -0.03
Space group: Cmcm

***

Question: The lowest energy of formation belongs to which entry?
Answer: NaYTlZn

***

Question: Look up the energy of formation of the first one.
Answer: -0.16 eV/atom